1.
{"formula": "Er3CdCo", "functional": "PBE-GGA", "state": "relaxed", "sg": "Pm-3m", "delta_e_f_ev_per_atom": -0.120, "cell": [[5.119, 0.000, 0.000], [0.000, 5.119, 0.000], [0.000, 0.000, 5.119]], "species": ["Er", "Er", "Er", "Cd", "Co"], "frac_coords": [[0.000, 0.000, 0.500], [0.000, 0.500, 0.000], [0.500, 0.000, 0.000], [0.500, 0.500, 0.500], [0.000, 0.000, 0.000]]}

=====

2.
{"formula": "ErCdCo", "functional": "PBE-GGA", "state": "relaxed", "sg": "Fmmm", "delta_e_f_ev_per_atom": -0.060, "cell": [[0.000, 4.357, 4.702], [2.855, 0.000, 4.702], [2.855, 4.357, 0.000]], "species": ["Er", "Er", "Cd", "Cd", "Co", "Co"], "frac_coords": [[0.179, 0.179, 0.821], [0.821, 0.821, 0.179], [0.328, 0.672, 0.328], [0.672, 0.328, 0.672], [0.250, 0.250, 0.250], [0.750, 0.750, 0.750]]}

=====

3.
{"formula": "ErCdCo", "functional": "PBE-GGA", "state": "relaxed", "sg": "I4mm", "delta_e_f_ev_per_atom": -0.067, "cell": [[3.341, 0.000, 0.000], [0.000, 3.341, 0.000], [0.000, 0.000, 10.577]], "species": ["Er", "Er", "Cd", "Cd", "Co", "Co"], "frac_coords": [[0.000, 0.000, 0.000], [0.500, 0.500, 0.500], [0.000, 0.000, 0.713], [0.500, 0.500, 0.213], [0.000, 0.000, 0.357], [0.500, 0.500, 0.857]]}

=====

4.
{"formula": "ErCdCo", "functional": "PBE-GGA", "state": "relaxed", "sg": "Cmcm", "delta_e_f_ev_per_atom": -0.292, "cell": [[3.843, 0.000, 0.000], [0.000, 16.643, 0.000], [0.000, 0.000, 3.777]], "species": ["Er", "Er", "Er", "Er", "Cd", "Cd", "Cd", "Cd", "Co", "Co", "Co", "Co"], "frac_coords": [[0.000, 0.091, 0.250], [0.000, 0.909, 0.750], [0.500, 0.409, 0.750], [0.500, 0.591, 0.250], [0.000, 0.297, 0.250], [0.000, 0.703, 0.750], [0.500, 0.203, 0.750], [0.500, 0.797, 0.250], [0.000, 0.463, 0.250], [0.000, 0.537, 0.750], [0.500, 0.037, 0.750], [0.500, 0.963, 0.250]]}

=====

5.
{"formula": "Er8Cd2Co", "functional": "PBE-GGA", "state": "relaxed", "sg": "Cm", "delta_e_f_ev_per_atom": -0.121, "cell": [[3.770, -7.826, 0.000], [3.770, 7.826, 0.000], [-3.319, 0.000, 5.110]], "species": ["Er", "Er", "Er", "Er", "Er", "Er", "Er", "Er", "Cd", "Cd", "Co"], "frac_coords": [[0.000, 0.000, 0.000], [0.071, 0.460, 0.218], [0.102, 0.886, 0.503], [0.416, 0.633, 0.885], [0.460, 0.071, 0.218], [0.545, 0.545, 0.392], [0.633, 0.416, 0.885], [0.886, 0.102, 0.503], [0.556, 0.984, 0.714], [0.984, 0.556, 0.714], [0.266, 0.266, 0.498]]}

=====

6.
{"formula": "Er5Cd2Co", "functional": "PBE-GGA", "state": "relaxed", "sg": "Cmcm", "delta_e_f_ev_per_atom": -0.003, "cell": [[2.781, -5.990, 0.000], [2.781, 5.990, 0.000], [0.000, 0.000, 12.533]], "species": ["Er", "Er", "Er", "Er", "Er", "Er", "Er", "Er", "Er", "Er", "Cd", "Cd", "Cd", "Cd", "Co", "Co"], "frac_coords": [[0.081, 0.919, 0.606], [0.081, 0.919, 0.894], [0.371, 0.629, 0.563], [0.371, 0.629, 0.937], [0.411, 0.589, 0.250], [0.589, 0.411, 0.750], [0.629, 0.371, 0.063], [0.629, 0.371, 0.437], [0.919, 0.081, 0.106], [0.919, 0.081, 0.394], [0.186, 0.814, 0.137], [0.186, 0.814, 0.363], [0.814, 0.186, 0.637], [0.814, 0.186, 0.863], [0.238, 0.762, 0.750], [0.762, 0.238, 0.250]]}

=====

7.
{"formula": "Er8Cd2Co", "functional": "PBE-GGA", "state": "relaxed", "sg": "C2/m", "delta_e_f_ev_per_atom": -0.129, "cell": [[8.603, -2.670, 0.000], [8.603, 2.670, 0.000], [-2.389, 0.000, 6.367]], "species": ["Er", "Er", "Er", "Er", "Er", "Er", "Er", "Er", "Cd", "Cd", "Co"], "frac_coords": [[0.019, 0.019, 0.284], [0.198, 0.198, 0.779], [0.354, 0.354, 0.557], [0.408, 0.408, 0.088], [0.592, 0.592, 0.912], [0.646, 0.646, 0.443], [0.802, 0.802, 0.221], [0.981, 0.981, 0.716], [0.183, 0.183, 0.206], [0.817, 0.817, 0.794], [0.500, 0.500, 0.500]]}

=====

8.
{"formula": "Er11Cd9Co4", "functional": "PBE-GGA", "state": "relaxed", "sg": "Cmmm", "delta_e_f_ev_per_atom": -0.299, "cell": [[7.152, -10.714, 0.000], [7.152, 10.714, 0.000], [0.000, 0.000, 3.561]], "species": ["Er", "Er", "Er", "Er", "Er", "Er", "Er", "Er", "Er", "Er", "Er", "Cd", "Cd", "Cd", "Cd", "Cd", "Cd", "Cd", "Cd", "Cd", "Co", "Co", "Co", "Co"], "frac_coords": [[0.000, 0.000, 0.000], [0.091, 0.420, 0.000], [0.160, 0.840, 0.000], [0.309, 0.309, 0.000], [0.371, 0.629, 0.000], [0.420, 0.091, 0.000], [0.580, 0.909, 0.000], [0.629, 0.371, 0.000], [0.691, 0.691, 0.000], [0.840, 0.160, 0.000], [0.909, 0.580, 0.000], [0.075, 0.218, 0.500], [0.153, 0.634, 0.500], [0.218, 0.075, 0.500], [0.366, 0.847, 0.500], [0.500, 0.500, 0.500], [0.634, 0.153, 0.500], [0.782, 0.925, 0.500], [0.847, 0.366, 0.500], [0.925, 0.782, 0.500], [0.260, 0.455, 0.500], [0.455, 0.260, 0.500], [0.545, 0.740, 0.500], [0.740, 0.545, 0.500]]}